# 1
A relaxed structure of HgSb2PdS. Source: Alexandria, functional PBE-GGA.

Cell lengths 5.1812, 5.1812, 4.9920 Å; angles 90.00, 90.00, 90.00 degrees
Space group P4/mmm (No. 123)
Asymmetric unit:
Hg (0.0000, 0.0000, 0.0000)
Sb (0.0000, 0.5000, 0.5000)
Pd (0.5000, 0.5000, 0.0000)
S (0.0000, 0.0000, 0.5000)

- Formation energy (no corrections): 0.641 eV per atom

***

# 2
A relaxed structure of ScHgPdS2. Source: Alexandria, functional PBE-GGA.

Cell lengths 4.8395, 4.8395, 5.2339 Å; angles 90.00, 90.00, 90.00 degrees
Space group P4/mmm (No. 123)
Asymmetric unit:
Sc (0.0000, 0.0000, 0.0000)
Hg (0.5000, 0.5000, 0.5000)
Pd (0.0000, 0.0000, 0.5000)
S (0.0000, 0.5000, 0.0000)

- Formation energy (no corrections): -0.137 eV per atom

***

# 3
A relaxed structure of Hg2PdSeS. Source: Alexandria, functional PBE-GGA.

Cell lengths 5.0390, 5.0390, 5.0679 Å; angles 90.00, 90.00, 90.00 degrees
Space group P4/mmm (No. 123)
Asymmetric unit:
Hg (0.0000, 0.5000, 0.0000)
Pd (0.0000, 0.0000, 0.5000)
Se (0.5000, 0.5000, 0.5000)
S (0.5000, 0.5000, 0.0000)

- Formation energy (no corrections): 0.627 eV per atom